Record 1
The following is a DFT calculation (GGA-PBEsol) of an optimized crystal structure of Ca5La.

The structure belongs to space group Cm (No. 8); the cell edges are 14.241, 3.759 and 9.125 Å and the angles 90.00°, 105.54° and 90.00°. The distinct sites, in fractional coordinates, are Ca at (0.000, 0.000, 0.000), Ca at (0.056, 0.000, 0.621), Ca at (0.166, 0.500, 0.341), Ca at (0.227, 0.500, 0.945), Ca at (0.389, 0.000, 0.288) and La at (0.333, 0.000, 0.668).

For the formation energy from the elements, the calculation gives 0.06 eV per atom.

---

Record 2
The following is a DFT calculation (GGA-PBEsol) of an optimized crystal structure of SiH2Ru2.

The structure belongs to space group I4/mmm (No. 139); the cell edges are 2.914, 2.914 and 10.362 Å and the angles 90.00°, 90.00° and 90.00°. The distinct sites, in fractional coordinates, are Si at (0.000, 0.000, 0.000), H at (0.000, 0.500, 0.250) and Ru at (0.000, 0.000, 0.364).

---

Record 3
The following is a DFT calculation (GGA-PBEsol) of an optimized crystal structure of NaNiCSO7.

The structure belongs to space group P2_1 (No. 4); the cell edges are 4.954, 6.473 and 9.016 Å and the angles 90.00°, 90.30° and 90.00°. The distinct sites, in fractional coordinates, are Na at (0.217, 0.000, 0.225), Ni at (0.229, 0.795, 0.649), C at (0.324, 0.800, 0.902), S at (0.283, 0.288, 0.573), O at (0.082, 0.791, 0.840), O at (0.137, 0.282, 0.429), O at (0.211, 0.472, 0.662), O at (0.223, 0.109, 0.666), O at (0.374, 0.814, 0.035), O at (0.419, 0.800, 0.462) and O at (0.497, 0.293, 0.206).

The calculation puts the uncorrected formation energy at -1.308 eV/atom.

---

Number 1: theoretical density 2.4 g cm⁻³, calculated volume 470.5 Å³/cell, DFT total energy -2.6079 eV per atom. Number 2: theoretical density 8.8 g cm⁻³, calculated volume 88.0 Å³/cell, DFT total energy -6.7597 eV per atom. Number 3: theoretical density 2.7 g cm⁻³, calculated volume 289.1 Å³/cell, DFT total energy -6.6107 eV per atom.